Compound: Sr3Li2CoO6
Source: Alexandria
Functional: GGA+U
Structure: relaxed

Calculated values
E_tot, eV for the cell shown: -66.5

a b c (Å): 5.6188 5.6188 6.1954
angles (deg): 90.00 90.00 120.00
Space group P-3m1 (No. 164)
Asymmetric unit:
Sr1 0.0000 0.0000 0.0000 x1
Sr2 0.3333 0.6667 0.6270 x2
Li1 0.3333 0.6667 0.2068 x2
Co1 0.0000 0.0000 0.5000 x1
O1 0.1600 0.3199 0.3155 x6